[1]
The following is a DFT calculation (SCAN) of CaBe2Os at its PBEsol-relaxed geometry.

Values from the calculation:
formation energy: 38.96 kJ per mole of atoms
DFT total energy: -22.1588 eV/atom

a = 2.631 Å, b = 4.618 Å, c = 5.278 Å
α = 115.95°, β = 104.43°, γ = 90.00°
Fractional coordinates of all 4 atoms:
Ca 0.498 0.498 0.996
Os 0.291 0.791 0.583
Be 0.002 0.002 0.004
Be 0.709 0.209 0.418

=====

[2]
The following is a DFT calculation (SCAN) of Ca2BeOs at its PBEsol-relaxed geometry.

Values from the calculation:
formation energy: 61.29 kJ per mole of atoms
DFT total energy: -23.2549 eV/atom

a = 2.862 Å, b = 5.233 Å, c = 5.233 Å
α = 90.45°, β = 90.00°, γ = 90.00°
Fractional coordinates of all 4 atoms:
Os 0.500 0.000 0.000
Be 0.500 0.500 0.500
Ca 0.000 0.500 0.000
Ca 0.000 0.000 0.500

=====

[3]
The following is a DFT calculation (SCAN) of CaYBeOs2 at its PBEsol-relaxed geometry.

Values from the calculation:
formation energy: 230.86 kJ per mole of atoms
DFT total energy: -34.7312 eV/atom

a = 4.778 Å, b = 4.778 Å, c = 5.138 Å
α = 90.00°, β = 90.00°, γ = 90.00°
Fractional coordinates of all 5 atoms:
Be 0.500 0.500 0.500
Ca 0.000 0.000 0.500
Os 0.500 0.000 0.000
Os 0.000 0.500 0.000
Y 0.000 0.000 0.000

=====

[4]
The following is a DFT calculation (SCAN) of CaBeP at its PBEsol-relaxed geometry.

Values from the calculation:
formation energy: 33.83 kJ per mole of atoms
DFT total energy: -7.7880 eV/atom
energy above the most stable polymorph in this dataset: 1.232 eV/atom

a = 4.459 Å, b = 4.459 Å, c = 4.459 Å
α = 60.00°, β = 60.00°, γ = 60.00°
Fractional coordinates of all 3 atoms:
Ca 0.250 0.250 0.250
Be 0.500 0.500 0.500
P 0.000 0.000 0.000